This record from Alexandria via LeMat-Bulk describes a relaxed structure of SrTa2Mo. The functional is GGA-PBE.

- E_tot: -8.43 eV/atom
- Energy above the lowest structure with this stoichiometry: 0.49 eV per formula unit
- Energy of formation from the pure elements: 629 meV/atom

a b c (Å): 3.0345 4.3489 7.1952
angles (deg): 90.00 101.71 90.00
Last column: nearest neighbours and their distance in Å.
Element x y z (fractional)
Sr  0.0000  0.0000  0.0000  2 Sr 3.03
Ta  0.2757  0.5000  0.6684  2 Mo 2.64, 1 Ta 2.65
Ta  0.7243  0.5000  0.3316  2 Mo 2.64, 1 Ta 2.65
Mo  0.5000  0.0000  0.5000  4 Ta 2.64



This record from Alexandria via LeMat-Bulk describes a relaxed structure of PuNpGe2. The functional is GGA-PBE.

- E_tot: -9.41 eV/atom
- Energy above the lowest structure with this stoichiometry: 0.00 eV per formula unit
- Energy of formation from the pure elements: -285 meV/atom

a b c (Å): 4.5631 4.5631 4.1197
angles (deg): 90.00 90.00 90.00
Last column: nearest neighbours and their distance in Å.
Element x y z (fractional)
Pu  0.0000  0.0000  0.0000  8 Ge 3.07, 4 Np 3.23
Np  0.5000  0.5000  0.0000  8 Ge 3.07, 4 Pu 3.23
Ge  0.0000  0.5000  0.5000  4 Np 3.07, 4 Pu 3.07, 4 Ge 3.23
Ge  0.5000  0.0000  0.5000  4 Np 3.07, 4 Pu 3.07, 4 Ge 3.23



This record from Alexandria via LeMat-Bulk describes a relaxed structure of SnHgIN2. The functional is GGA-PBE.

- E_tot: -2.79 eV/atom
- Energy above the lowest structure with this stoichiometry: 2.39 eV per formula unit
- Formation energy (no corrections): 1.714 eV/atom

a b c (Å): 4.4833 4.4833 6.4509
angles (deg): 90.00 90.00 90.00
Last column: nearest neighbours and their distance in Å.
Element x y z (fractional)
Sn  0.0000  0.0000  0.0000  4 I 3.17
Hg  0.5000  0.5000  0.5000  4 N 2.24
I  0.5000  0.5000  0.0000  4 Sn 3.17, 2 Hg 3.23
N  0.0000  0.5000  0.5000  2 Hg 2.24
N  0.5000  0.0000  0.5000  2 Hg 2.24



This record from Alexandria via LeMat-Bulk describes a relaxed structure of YNb2HgTe. The functional is GGA-PBE.

- E_tot: -4.44 eV/atom
- Formation energy (no corrections): 1.569 eV/atom

a b c (Å): 5.1652 5.1652 5.5707
angles (deg): 90.00 90.00 90.00
Last column: nearest neighbours and their distance in Å.
Element x y z (fractional)
Y  0.0000  0.0000  0.0000  4 Nb 2.58, 2 Te 2.79
Nb  0.0000  0.5000  0.0000  2 Y 2.58
Nb  0.5000  0.0000  0.0000  2 Y 2.58
Hg  0.5000  0.5000  0.5000  4 Te 3.65, 8 Nb 3.80
Te  0.0000  0.0000  0.5000  2 Y 2.79



This record from Alexandria via LeMat-Bulk describes a relaxed structure of KNa4Mg. The functional is GGA-PBE.

- E_tot: -1.22 eV/atom
- Energy of formation from the pure elements: 112 meV/atom

a b c (Å): 6.8708 6.8708 6.8708
angles (deg): 60.00 60.00 60.00
Last column: nearest neighbours and their distance in Å.
Element x y z (fractional)
K  0.0000  0.0000  0.0000  12 Na 4.03, 4 Mg 4.21
Na  0.3765  0.3765  0.3765  6 Na 3.40-3.48
Na  0.3765  0.3765  0.8706  6 Na 3.40-3.48
Na  0.3765  0.8706  0.3765  6 Na 3.40-3.48
Na  0.8706  0.3765  0.3765  6 Na 3.40-3.48
Mg  0.7500  0.7500  0.7500  12 Na 4.02, 4 K 4.21



This record from Alexandria via LeMat-Bulk describes a relaxed structure of Sm4AgHg5. The functional is GGA-PBE.

- E_tot: -2.70 eV/atom
- Energy above the lowest structure with this stoichiometry: 0.26 eV per formula unit
- Energy of formation from the pure elements: -380 meV/atom

a b c (Å): 3.7535 3.7535 18.3554
angles (deg): 90.00 90.00 90.00
Last column: nearest neighbours and their distance in Å.
Element x y z (fractional)
Sm  0.0000  0.0000  0.1052  8 Hg 3.25-3.28
Sm  0.0000  0.0000  0.3137  8 Hg 3.23-3.30, 1 Ag 3.42
Sm  0.0000  0.0000  0.6863  8 Hg 3.23-3.30, 1 Ag 3.42
Sm  0.0000  0.0000  0.8948  8 Hg 3.25-3.28
Ag  0.0000  0.0000  0.5000  8 Hg 3.09, 2 Sm 3.42
Hg  0.5000  0.5000  0.0000  8 Sm 3.28
Hg  0.5000  0.5000  0.2073  8 Sm 3.25-3.30
Hg  0.5000  0.5000  0.4141  4 Ag 3.09, 1 Hg 3.15, 4 Sm 3.23
Hg  0.5000  0.5000  0.5859  4 Ag 3.09, 1 Hg 3.15, 4 Sm 3.23
Hg  0.5000  0.5000  0.7927  8 Sm 3.25-3.30



This record from Alexandria via LeMat-Bulk describes a relaxed structure of BaCaTlNi2. The functional is GGA-PBE.

- E_tot: -3.06 eV/atom
- Energy of formation from the pure elements: 508 meV/atom

a b c (Å): 5.1227 5.1227 5.5306
angles (deg): 90.00 90.00 90.00
Last column: nearest neighbours and their distance in Å.
Element x y z (fractional)
Ba  0.0000  0.0000  0.0000  4 Ca 3.62, 8 Ni 3.77
Ca  0.5000  0.5000  0.0000  2 Tl 2.77
Tl  0.5000  0.5000  0.5000  4 Ni 2.56, 2 Ca 2.77
Ni  0.0000  0.5000  0.5000  2 Tl 2.56
Ni  0.5000  0.0000  0.5000  2 Tl 2.56



This record from Alexandria via LeMat-Bulk describes a relaxed structure of Pa2Sn2Pd7. The functional is GGA-PBE.

- E_tot: -6.18 eV/atom
- Energy of formation from the pure elements: -418 meV/atom

a b c (Å): 6.4131 6.4131 5.8264
angles (deg): 99.64 99.64 103.87
Last column: nearest neighbours and their distance in Å.
Element x y z (fractional)
Pa  0.2440  0.7560  0.0000  4 Pd 2.61-2.86
Pa  0.7560  0.2440  0.0000  4 Pd 2.61-2.86
Sn  0.2916  0.2916  0.2782  6 Pd 2.71-2.99
Sn  0.7084  0.7084  0.7218  6 Pd 2.71-2.99
Pd  0.0000  0.0000  0.5000  6 Pd 2.74-2.87, 2 Sn 2.93
Pd  0.0724  0.6033  0.3354  2 Pa 2.61-2.86, 4 Pd 2.68-2.81, 1 Sn 2.71
Pd  0.3554  0.3554  0.7950  4 Pd 2.81-2.87, 3 Sn 2.92-2.99, 2 Pa 2.95
Pd  0.3967  0.9276  0.6646  2 Pa 2.61-2.86, 4 Pd 2.68-2.81, 1 Sn 2.71
Pd  0.6033  0.0724  0.3354  2 Pa 2.61-2.86, 4 Pd 2.68-2.81, 1 Sn 2.71
Pd  0.6446  0.6446  0.2050  4 Pd 2.81-2.87, 3 Sn 2.92-2.99, 2 Pa 2.95
Pd  0.9276  0.3967  0.6646  2 Pa 2.61-2.86, 4 Pd 2.68-2.81, 1 Sn 2.71